A crystal of B4C relaxed with PBEsol, computed with meta-GGA SCAN.

Properties
- M_tot: 0.00 μB/cell
- Relative energy among the computed polymorphs: 0 meV/atom
- Calculated formation energy: -0.07 eV/atom
- Raw total energy: -120.6 eV/cell

Cell lengths 5.1681, 5.1681, 5.1681 Å; angles 65.86, 65.86, 65.86 degrees
With the nearest neighbours (Å) after each atom.
Element x y z (fractional)
B (0.0059, 0.0059, 0.3296)  6 B 1.71-1.82
B (0.0059, 0.3296, 0.0059)  6 B 1.71-1.82
B (0.1939, 0.1939, 0.6906)  1 C 1.65, 5 B 1.75-1.79
B (0.1939, 0.6906, 0.1939)  1 C 1.65, 5 B 1.75-1.79
B (0.3094, 0.8061, 0.8061)  1 C 1.65, 5 B 1.75-1.79
B (0.3296, 0.0059, 0.0059)  6 B 1.71-1.82
B (0.6704, 0.9941, 0.9941)  6 B 1.71-1.82
B (0.6906, 0.1939, 0.1939)  1 C 1.65, 5 B 1.75-1.79
B (0.8061, 0.3094, 0.8061)  1 C 1.65, 5 B 1.75-1.79
B (0.8061, 0.8061, 0.3094)  1 C 1.65, 5 B 1.75-1.79
B (0.9941, 0.6704, 0.9941)  6 B 1.71-1.82
B (0.9941, 0.9941, 0.6704)  6 B 1.71-1.82
C (0.3896, 0.3896, 0.3896)  1 C 1.33
C (0.5000, 0.5000, 0.5000)  2 C 1.33
C (0.6104, 0.6104, 0.6104)  1 C 1.33